{"formula": "NaMg2RhPb", "functional": "meta-GGA SCAN", "state": "single point on PBEsol structure", "total_magnetization_mub_per_fu": 0.00, "e_tot_ev_per_cell": -125.04, "ef_ev_per_fu": -1.3, "lattice": [[5.0316, 0.0000, 0.0000], [0.0000, 5.0316, 0.0000], [0.0000, 0.0000, 5.1189]], "species": ["Mg", "Na", "Mg", "Pb", "Rh"], "frac_coords": [[0.5000, 0.0000, 0.0000], [0.5000, 0.5000, 0.5000], [0.0000, 0.5000, 0.0000], [0.0000, 0.0000, 0.5000], [0.0000, 0.0000, 0.0000]]}

{"formula": "NaMg3Pd", "functional": "meta-GGA SCAN", "state": "single point on PBEsol structure", "total_magnetization_mub_per_fu": 0.00, "e_tot_ev_per_cell": -47.21, "ef_ev_per_fu": 4.7, "lattice": [[4.9656, 0.0000, 0.0000], [0.0000, 4.9656, 0.0000], [0.0000, 0.0000, 4.9656]], "species": ["Mg", "Pd", "Na", "Mg", "Mg"], "frac_coords": [[0.5000, 0.0000, 0.0000], [0.5000, 0.5000, 0.5000], [0.0000, 0.0000, 0.0000], [0.0000, 0.0000, 0.5000], [0.0000, 0.5000, 0.0000]]}

{"formula": "Na2MgPt2", "functional": "meta-GGA SCAN", "state": "single point on PBEsol structure", "total_magnetization_mub_per_fu": 0.00, "e_tot_ev_per_cell": -154.05, "ef_ev_per_fu": -0.3, "lattice": [[3.6410, 0.0000, 0.0000], [0.0000, 3.6410, 0.0000], [-1.8205, -1.8205, 7.0348]], "species": ["Mg", "Pt", "Na", "Pt", "Na"], "frac_coords": [[0.0000, 0.0000, 0.0000], [0.4073, 0.4073, 0.8146], [0.2500, 0.7500, 0.5000], [0.5927, 0.5927, 0.1854], [0.7500, 0.2500, 0.5000]]}

{"formula": "NaMg2Pt2", "functional": "meta-GGA SCAN", "state": "single point on PBEsol structure", "total_magnetization_mub_per_fu": 0.00, "e_tot_ev_per_cell": -316.78, "ef_ev_per_fu": -3.8, "lattice": [[-0.0700, -1.1341, -2.6321], [-0.2999, -7.1950, 3.1081], [-7.8353, 0.3512, 0.0569]], "species": ["Mg", "Pt", "Mg", "Na", "Na", "Pt", "Pt", "Pt", "Mg", "Mg"], "frac_coords": [[0.5000, 0.3494, 0.1506], [0.0000, 0.3568, 0.8568], [0.5000, 0.6506, 0.8494], [0.0000, 0.0000, 0.0000], [0.0000, 0.5000, 0.5000], [0.0000, 0.6432, 0.1432], [0.0000, 0.1432, 0.3568], [0.0000, 0.8568, 0.6432], [0.5000, 0.8494, 0.3494], [0.5000, 0.1506, 0.6506]]}

{"formula": "NaSr2MgPt", "functional": "meta-GGA SCAN", "state": "single point on PBEsol structure", "total_magnetization_mub_per_fu": 0.01, "e_tot_ev_per_cell": -126.32, "ef_ev_per_fu": -2.4, "lattice": [[5.2025, 0.0000, 0.0000], [0.0000, 5.8345, 0.0000], [0.0000, 0.0000, 5.8345]], "species": ["Sr", "Sr", "Na", "Mg", "Pt"], "frac_coords": [[0.0000, 0.5000, 0.0000], [0.0000, 0.0000, 0.5000], [0.5000, 0.5000, 0.5000], [0.5000, 0.0000, 0.0000], [0.0000, 0.0000, 0.0000]]}

{"formula": "Na2Mg2Re", "functional": "meta-GGA SCAN", "state": "single point on PBEsol structure", "total_magnetization_mub_per_fu": 1.69, "e_tot_ev_per_cell": -84.79, "ef_ev_per_fu": 4.7, "lattice": [[-0.8094, -3.1301, 1.5664], [2.6689, 0.4883, 2.3548], [-6.1763, 5.2461, 3.1720]], "species": ["Na", "Mg", "Na", "Re", "Mg"], "frac_coords": [[0.7500, 0.2500, 0.5000], [0.4197, 0.4197, 0.8394], [0.2500, 0.7500, 0.5000], [0.0000, 0.0000, 0.0000], [0.5803, 0.5803, 0.1606]]}